(1)
Density functional theory data (PBE) for K2BeW after structural relaxation.

The structure in extended XYZ format:
```
4
Lattice="-0.217 -3.761 -1.982 1.692 -3.906 0.042 -7.255 -3.442 6.598" Properties=species:S:1:pos:R:3 pbc="T T T"
Be -1.996 -3.024 1.667
K 0.738 -7.841 -1.258
K -3.729 -8.082 2.940
W -2.207 -5.384 1.696
```

## Properties
The symmetry is Cm, No. 8. Its crystal system is monoclinic. The value obtained for the formation energy from the elements is 1.14 eV per atom. Its volume is 29.1 Å³ per atom.

***

(2)
Density functional theory data (PBE) for K2BeW after structural relaxation.

The structure in extended XYZ format:
```
4
Lattice="5.793 0.000 0.000 0.000 3.848 0.000 0.000 0.000 3.848" Properties=species:S:1:pos:R:3 pbc="T T T"
Be 2.897 0.000 1.924
K 0.000 0.000 0.000
K 0.000 1.924 1.924
W 2.897 1.924 0.000
```

## Properties
The symmetry is P4/mmm, No. 123. Its crystal system is tetragonal. The value obtained for the formation energy from the elements is 1.72 eV per atom. Its volume is 21.4 Å³ per atom.

***

(3)
Density functional theory data (PBE) for K2BeW after structural relaxation.

The structure in extended XYZ format:
```
4
Lattice="6.527 -0.008 0.000 -4.111 5.069 0.000 0.000 0.000 2.713" Properties=species:S:1:pos:R:3 pbc="T T T"
Be -2.056 2.534 1.357
K 0.000 0.000 0.000
K 1.208 2.531 0.000
W 3.263 -0.004 1.357
```

## Properties
The symmetry is Cmmm, No. 65. Its crystal system is orthorhombic. The value obtained for the formation energy from the elements is 1.65 eV per atom. Its volume is 22.4 Å³ per atom.

***

(4)
Density functional theory data (PBE) for KBe2W after structural relaxation.

The structure in extended XYZ format:
```
4
Lattice="1.086 0.793 4.364 -0.494 4.189 1.751 -3.290 0.823 3.058" Properties=species:S:1:pos:R:3 pbc="T T T"
Be -0.675 1.451 2.293
Be -2.024 4.353 6.880
K 0.000 0.000 0.000
W -1.349 2.902 4.587
```

## Properties
The symmetry is Fm-3m, No. 225. Its crystal system is cubic. The value obtained for the formation energy from the elements is 1.65 eV per atom. Its volume is 16.8 Å³ per atom.

***

(5)
Density functional theory data (PBE) for KBe2W after structural relaxation.

The structure in extended XYZ format:
```
4
Lattice="-1.985 -0.494 -1.557 -1.848 -2.703 3.214 -2.925 4.670 2.246" Properties=species:S:1:pos:R:3 pbc="T T T"
Be -2.733 4.364 2.098
Be -2.629 -0.461 1.375
K -1.341 2.141 1.029
W -4.443 2.435 2.768
```

## Properties
The symmetry is Pmm2, No. 25. Its crystal system is orthorhombic. The value obtained for the formation energy from the elements is 1.23 eV per atom. Its volume is 17.5 Å³ per atom.

***

(6)
Density functional theory data (PBE) for K2BeW after structural relaxation.

The structure in extended XYZ format:
```
4
Lattice="5.321 0.000 0.002 -2.602 6.148 -0.014 0.117 0.598 2.632" Properties=species:S:1:pos:R:3 pbc="T T T"
Be 1.359 3.074 -0.006
K 0.000 0.000 0.000
K 2.719 0.299 1.317
W -1.243 3.373 1.309
```

## Properties
The symmetry is C2/m, No. 12. Its crystal system is monoclinic. The value obtained for the formation energy from the elements is 1.60 eV per atom. Its volume is 21.5 Å³ per atom.

***

(7)
Density functional theory data (PBE) for KBe2W after structural relaxation.

The structure in extended XYZ format:
```
4
Lattice="-1.164 -2.335 -0.942 0.339 -1.173 2.490 -7.508 2.799 2.339" Properties=species:S:1:pos:R:3 pbc="T T T"
Be -0.262 0.098 0.082
Be -1.526 -1.339 1.121
K -3.567 1.330 1.111
W -6.733 0.602 2.743
```

## Properties
The symmetry is P4mm, No. 99. Its crystal system is tetragonal. The value obtained for the formation energy from the elements is 0.78 eV per atom. Its volume is 16.1 Å³ per atom.

***

(8)
Density functional theory data (PBE) for KBe2W after structural relaxation.

The structure in extended XYZ format:
```
4
Lattice="6.345 0.014 -0.029 2.696 5.744 0.029 -3.201 -4.951 2.346" Properties=species:S:1:pos:R:3 pbc="T T T"
Be 8.528 5.431 0.000
Be 5.034 3.206 0.000
K 2.008 1.836 1.187
W 3.832 -1.029 1.159
```

## Properties
The symmetry is Immm, No. 71. Its crystal system is orthorhombic. The value obtained for the formation energy from the elements is 1.45 eV per atom. Its volume is 21.5 Å³ per atom.

***

(9)
Density functional theory data (PBE) for K3BeW after structural relaxation.

The structure in extended XYZ format:
```
5
Lattice="6.186 0.000 0.000 0.000 6.186 0.000 0.000 0.000 6.186" Properties=species:S:1:pos:R:3 pbc="T T T"
Be 0.000 0.000 0.000
K 0.000 3.093 0.000
K 0.000 0.000 3.093
K 3.093 0.000 0.000
W 3.093 3.093 3.093
```

## Properties
The symmetry is Pm-3m, No. 221. Its crystal system is cubic. The value obtained for the formation energy from the elements is 1.83 eV per atom. Its volume is 47.3 Å³ per atom.

***

(10)
Density functional theory data (PBE) for K2BeW after structural relaxation.

The structure in extended XYZ format:
```
4
Lattice="-6.577 6.989 -7.585 -5.324 5.341 -9.631 -7.771 4.444 -8.336" Properties=species:S:1:pos:R:3 pbc="T T T"
Be -14.754 12.580 -19.163
K -0.035 0.030 -0.046
K -9.801 8.357 -12.730
W -4.918 4.193 -6.388
```

## Properties
The symmetry is R-3m, No. 166. Its crystal system is trigonal. The value obtained for the formation energy from the elements is 1.51 eV per atom. Its volume is 22.2 Å³ per atom.

***

(11)
Density functional theory data (PBE) for K2BeW after structural relaxation.

The structure in extended XYZ format:
```
4
Lattice="-0.869 -3.661 -5.198 3.103 -5.300 -1.860 -2.901 2.953 4.903" Properties=species:S:1:pos:R:3 pbc="T T T"
Be -1.327 -2.594 -1.912
K 0.000 0.000 0.000
K 1.117 -4.480 -3.529
W 0.660 -3.413 -0.243
```

## Properties
The symmetry is I4/mmm, No. 139. Its crystal system is tetragonal. The value obtained for the formation energy from the elements is 1.72 eV per atom. Its volume is 21.5 Å³ per atom.

***

(12)
Density functional theory data (PBE) for K2BeW after structural relaxation.

The structure in extended XYZ format:
```
4
Lattice="-1.266 0.407 -2.472 2.191 -1.165 -1.314 -5.094 -10.561 0.867" Properties=species:S:1:pos:R:3 pbc="T T T"
Be -3.358 -8.300 -1.243
K -5.070 -10.513 0.863
K -2.570 -5.329 0.438
W -0.811 -3.019 -1.676
```

## Properties
The symmetry is P4/mmm, No. 123. Its crystal system is tetragonal. The value obtained for the formation energy from the elements is 1.56 eV per atom. Its volume is 23.2 Å³ per atom.

***

(13)
Density functional theory data (PBE) for K2BeW after structural relaxation.

The structure in extended XYZ format:
```
4
Lattice="3.290 0.000 0.000 0.000 3.290 0.000 0.000 0.000 10.438" Properties=species:S:1:pos:R:3 pbc="T T T"
Be 1.645 1.645 6.825
K 0.000 0.000 9.541
K 1.645 1.645 3.438
W 0.000 0.000 6.292
```

## Properties
The symmetry is P4mm, No. 99. Its crystal system is tetragonal. The value obtained for the formation energy from the elements is 0.99 eV per atom. Its volume is 28.2 Å³ per atom.

***

(14)
Density functional theory data (PBE) for KBe3W after structural relaxation.

The structure in extended XYZ format:
```
5
Lattice="-2.487 0.854 3.213 0.871 -3.705 1.659 3.208 1.667 2.040" Properties=species:S:1:pos:R:3 pbc="T T T"
Be 0.435 -1.852 0.829
Be 1.604 0.834 1.020
Be -1.243 0.427 1.606
K 0.000 0.000 0.000
W 0.796 -0.592 3.456
```

## Properties
The symmetry is Pm-3m, No. 221. Its crystal system is cubic. The value obtained for the formation energy from the elements is 2.67 eV per atom. Its volume is 14.3 Å³ per atom.

***

(15)
Density functional theory data (PBE) for KBe2W after structural relaxation.

The structure in extended XYZ format:
```
4
Lattice="9.878 -0.010 -0.006 9.477 2.786 -0.006 9.477 1.359 2.432" Properties=species:S:1:pos:R:3 pbc="T T T"
Be 0.452 0.065 0.038
Be 13.964 2.003 1.172
K 7.208 1.034 0.605
W 21.623 3.102 1.815
```

## Properties
The symmetry is R-3m, No. 166. Its crystal system is trigonal. The value obtained for the formation energy from the elements is 0.95 eV per atom. Its volume is 16.8 Å³ per atom.